First-principles (SCAN) data for a PBEsol-optimized structure of KTcS2, as listed in Alexandria via LeMat-Bulk.

Geometry as POSCAR:
```
KTcS2
1.0
-3.123 0.510 -1.588
-1.652 -2.711 -1.568
-5.563 -2.502 6.190
S K Tc
2 1 1
direct
0.884 0.884 0.347 S
0.116 0.116 0.653 S
0.000 0.000 0.000 K
0.500 0.500 0.500 Tc
```

Output
- Raw formation energy: -1.97 eV per formula unit
- D(E_F): 1.66 states/eV/cell